Compound: NaHg
Source: Alexandria via LeMat-Bulk
Functional: PBE-GGA
Structure: optimized geometry

The space group is P6_3/mmc (No. 194) and the conventional cell measures 5.3172, 5.3172 and 6.1755 Å, with angles of 90.00, 90.00 and 120.00 degrees. The distinct sites, in fractional coordinates, are Na at (0.3333, 0.6667, 0.2500) and Hg at (0.3333, 0.6667, 0.7500).

The calculation puts the calculated formation energy at -4 meV/atom.